Record 1
# AcRhS

A relaxed structure of AcRhS (PBE-GGA, the Alexandria database).

a = 4.321 Å, b = 11.034 Å, c = 6.013 Å
α = 93.41°, β = 111.06°, γ = 90.00°
Positions (direct):
Ac 0.128 0.384 0.256
Ac 0.619 0.878 0.238
Ac 0.381 0.122 0.762
Ac 0.872 0.616 0.744
S 0.108 0.105 0.216
S 0.839 0.329 0.678
S 0.161 0.671 0.322
S 0.892 0.895 0.784
Rh 0.589 0.598 0.178
Rh 0.331 0.832 0.661
Rh 0.669 0.168 0.339
Rh 0.411 0.402 0.822

Results
The value obtained for the density of states at the Fermi level is 0.4169 states/eV per atom. Its crystal system is monoclinic. For the uncorrected formation energy, the calculation gives -121.0 kJ/mol of atoms. The total energy comes out at -6.45 eV per atom. The calculation puts the size of the total moment at 0.0 μB/f.u.

=====

Record 2
# Ac3Rh2S

A relaxed structure of Ac3Rh2S (PBE-GGA, the Alexandria database).

a = 9.620 Å, b = 9.620 Å, c = 9.620 Å
α = 154.01°, β = 154.01°, γ = 37.09°
Positions (direct):
Rh 0.658 0.658 0.000
Rh 0.342 0.342 0.000
Ac 0.831 0.831 0.000
Ac 0.500 0.500 0.000
Ac 0.169 0.169 0.000
S 0.000 0.000 0.000

Results
The value obtained for the density of states at the Fermi level is 0.4998 states/eV per atom. Its crystal system is tetragonal. For the uncorrected formation energy, the calculation gives -104.8 kJ/mol of atoms. The total energy comes out at -6.28 eV per atom. The calculation puts the size of the total moment at 0.0 μB/f.u.